A relaxed TlAu2C crystal. Source: Alexandria via LeMat-Bulk, functional GGA-PBE.

Unit cell a=4.6769 b=4.6769 c=4.6769 alpha=60.00 beta=60.00 gamma=60.00
Atoms (fractional coordinates):
Tl: 0.5000 0.5000 0.5000
Au: 0.2500 0.2500 0.2500
Au: 0.7500 0.7500 0.7500
C: 0.0000 0.0000 0.0000

The formation energy from the elements comes out at 6.1 eV/f.u. For the density of states at the Fermi level, the calculation gives 2.3 states/eV/cell. The space group is Fm-3m. Its polymorph energy (0 for the lowest one) is 0.789 eV/atom. The total magnetization comes out at 0.7 μB/cell.